No. 1
DFT (GGA-PBE) results for an optimized crystal structure of DyHfAl2.

Structure (POSCAR):
```
DyHfAl2
1.0
4.912 0.000 0.000
2.456 4.254 0.000
2.456 1.418 4.010
Al Dy Hf
2 1 1
Cartesian
7.367 4.254 3.008
2.456 1.418 1.003
0.000 0.000 0.000
4.912 2.836 2.005
```

Computed properties:
Energy relative to the elements in kJ/mol of formula units: -94
Symmetry: Fm-3m (225)
Total magnetization in μB per atom: 0.00



No. 2
DFT (GGA-PBE) results for an optimized crystal structure of DyHfAl2.

Structure (POSCAR):
```
DyHfAl2
1.0
3.574 0.000 0.000
0.000 3.574 0.000
0.000 0.000 6.589
Al Hf Dy
2 1 1
Cartesian
0.000 0.000 1.424
0.000 0.000 5.165
1.787 1.787 0.000
1.787 1.787 3.295
```

Computed properties:
Energy relative to the elements in kJ/mol of formula units: -113
Symmetry: P4/mmm (123)
Total magnetization in μB per atom: 0.00



No. 3
DFT (GGA-PBE) results for an optimized crystal structure of DyHfAl.

Structure (POSCAR):
```
DyHfAl
1.0
-2.438 0.111 2.183
0.528 -3.143 0.749
5.120 3.302 3.096
Dy Al Hf
1 1 1
Cartesian
0.045 0.019 0.050
0.501 -0.892 3.060
2.664 1.142 2.917
```

Computed properties:
Energy relative to the elements in kJ/mol of formula units: -50
Symmetry: I4mm (107)
Total magnetization in μB per atom: 0.00



In kJ per mole of atoms, the excess energy over the best structure of this formula in the dataset values for the records above are, in order, 4.72 0.00 0.00.